(1)
The following is a DFT calculation (PBE-GGA) of a relaxed Pr3Zn2Cu3 crystal.

abc: 4.5007 5.7339 14.5962
angles: 90.00 90.00 113.11
With the nearest neighbours (Å) after each atom.
Atoms (fractional coordinates):
Cu (0.6802, 0.3603, 0.7500)  2 Zn 2.57
Zn (0.2006, 0.4012, 0.0965)  4 Cu 2.57-2.81
Cu (0.6101, 0.2201, 0.0393)  3 Zn 2.58-2.81, 1 Cu 2.59
Cu (0.6101, 0.2201, 0.4607)  3 Zn 2.58-2.81, 1 Cu 2.59
Pr (0.6121, 0.2242, 0.2500)  5 Cu 3.08-3.14, 4 Zn 3.31
Cu (0.3198, 0.6397, 0.2500)  2 Zn 2.57
Cu (0.3899, 0.7799, 0.9607)  3 Zn 2.58-2.81, 1 Cu 2.59
Cu (0.3899, 0.7799, 0.5393)  3 Zn 2.58-2.81, 1 Cu 2.59
Pr (0.9016, 0.8032, 0.1028)  7 Cu 3.06-3.28, 4 Zn 3.09-3.16
Pr (0.3879, 0.7758, 0.7500)  5 Cu 3.08-3.14, 4 Zn 3.31
Zn (0.7994, 0.5988, 0.9035)  4 Cu 2.57-2.81
Zn (0.7994, 0.5988, 0.5965)  4 Cu 2.57-2.81
Zn (0.2006, 0.4012, 0.4035)  4 Cu 2.57-2.81
Pr (0.0984, 0.1968, 0.8972)  7 Cu 3.06-3.28, 4 Zn 3.09-3.16
Pr (0.9016, 0.8032, 0.3972)  7 Cu 3.06-3.28, 4 Zn 3.09-3.16
Pr (0.0984, 0.1968, 0.6028)  7 Cu 3.06-3.28, 4 Zn 3.09-3.16

Its energy relative to the lowest polymorph listed for this composition is 0.00 eV/f.u. As for the space group: Cmcm, No. 63. As for the volume: 346 Å³ per cell. The value obtained for the formation energy from the elements is -0.2372 eV/atom.

***

(2)
The following is a DFT calculation (PBE-GGA) of a relaxed Pr3Zn4Cu4 crystal.

abc: 4.4637 6.7162 8.2754
angles: 113.94 105.65 90.00
With the nearest neighbours (Å) after each atom.
Atoms (fractional coordinates):
Cu (0.6638, 0.4787, 0.3276)  1 Cu 2.49, 4 Zn 2.53-2.76
Pr (0.1421, 0.1421, 0.2842)  6 Zn 3.05-3.27, 6 Cu 3.07-3.09
Cu (0.6638, 0.8489, 0.3276)  1 Cu 2.49, 4 Zn 2.53-2.76
Cu (0.3362, 0.1511, 0.6724)  1 Cu 2.49, 4 Zn 2.53-2.76
Zn (0.2137, 0.7137, 0.4274)  6 Cu 2.65-2.76
Pr (0.0000, 0.5000, 0.0000)  6 Zn 3.09
Cu (0.3362, 0.5213, 0.6724)  1 Cu 2.49, 4 Zn 2.53-2.76
Pr (0.8579, 0.8579, 0.7158)  6 Zn 3.05-3.27, 6 Cu 3.07-3.09
Zn (0.5000, 0.8173, 0.0000)  1 Zn 2.45, 2 Cu 2.53
Zn (0.5000, 0.1827, 0.0000)  1 Zn 2.45, 2 Cu 2.53
Zn (0.7863, 0.2863, 0.5726)  6 Cu 2.65-2.76

Its energy relative to the lowest polymorph listed for this composition is 0.33 eV/f.u. As for the space group: Immm, No. 71. As for the volume: 217 Å³ per cell. The value obtained for the formation energy from the elements is -0.2181 eV/atom.

***

(3)
The following is a DFT calculation (PBE-GGA) of a relaxed PrZn6Cu4 crystal.

abc: 4.0829 7.0349 7.0349
angles: 120.00 90.00 90.00
With the nearest neighbours (Å) after each atom.
Atoms (fractional coordinates):
Cu (0.5000, 0.4157, 0.2078)  6 Zn 2.52-2.57, 2 Cu 2.65
Zn (0.5000, 0.2052, 0.4105)  4 Cu 2.52-2.57, 2 Zn 2.70
Zn (0.0000, 0.9275, 0.4637)  5 Cu 2.47-2.57, 2 Zn 2.75
Cu (0.5000, 0.7922, 0.5843)  6 Zn 2.52-2.57, 2 Cu 2.65
Zn (0.0000, 0.5363, 0.0725)  5 Cu 2.47-2.57, 2 Zn 2.75
Pr (0.0000, 0.0000, 0.0000)  12 Zn 3.23-3.55, 6 Cu 3.25
Cu (0.5000, 0.7922, 0.2078)  6 Zn 2.52-2.57, 2 Cu 2.65
Zn (0.5000, 0.2052, 0.7948)  4 Cu 2.52-2.57, 2 Zn 2.70
Zn (0.5000, 0.5895, 0.7948)  4 Cu 2.52-2.57, 2 Zn 2.70
Cu (0.0000, 0.3333, 0.6667)  9 Zn 2.47-2.57
Zn (0.0000, 0.5363, 0.4637)  5 Cu 2.47-2.57, 2 Zn 2.75

As for the space group: P-6m2, No. 187. As for the volume: 175 Å³ per cell. The value obtained for the formation energy from the elements is -0.1631 eV/atom.